(1)
Below is a relaxed NaBI3 crystal, with properties calculated at the PBE level.

Computed properties:
E_tot   -2.3762 eV per atom
Spin magnetization   0.00 μB/cell
N(E_F)   1.43 states/eV/f.u.

a = 5.3027 Å, b = 5.3027 Å, c = 5.3027 Å
α = 90.00°, β = 90.00°, γ = 90.00°
Closest atoms and distances in Å follow each position.
Positions (direct):
B 0.0000 0.0000 0.0000  6 I 2.65
I 0.0000 0.0000 0.5000  2 B 2.65
I 0.0000 0.5000 0.0000  2 B 2.65
Na 0.5000 0.5000 0.5000  12 I 3.75
I 0.5000 0.0000 0.0000  2 B 2.65

(2)
Below is a relaxed NaBI3 crystal, with properties calculated at the PBE level.

Computed properties:
E_tot   -1.7043 eV per atom
Spin magnetization   0.00 μB/cell
N(E_F)   7.36 states/eV/f.u.

a = 5.9072 Å, b = 5.9072 Å, c = 5.9072 Å
α = 90.00°, β = 90.00°, γ = 90.00°
Closest atoms and distances in Å follow each position.
Positions (direct):
I 0.0000 0.0000 0.5000  2 Na 2.95
I 0.5000 0.0000 0.0000  2 Na 2.95
I 0.0000 0.5000 0.0000  2 Na 2.95
B 0.5000 0.5000 0.5000  12 I 4.18
Na 0.0000 0.0000 0.0000  6 I 2.95

(3)
Below is a relaxed Na3BI crystal, with properties calculated at the PBE level.

Computed properties:
E_tot   -1.7559 eV per atom
Spin magnetization   1.89 μB/cell
N(E_F)   5.02 states/eV/f.u.

a = 5.8755 Å, b = 5.8755 Å, c = 5.8755 Å
α = 90.00°, β = 90.00°, γ = 90.00°
Closest atoms and distances in Å follow each position.
Positions (direct):
B 0.5000 0.5000 0.5000  12 Na 4.15
Na 0.5000 0.0000 0.0000  2 I 2.94
Na 0.0000 0.0000 0.5000  2 I 2.94
Na 0.0000 0.5000 0.0000  2 I 2.94
I 0.0000 0.0000 0.0000  6 Na 2.94

(4)
Below is a relaxed NaBI2O crystal, with properties calculated at the PBE level.

Computed properties:
E_tot   -2.2586 eV per atom
Spin magnetization   2.00 μB/cell
N(E_F)   3.03 states/eV/f.u.

a = 5.9062 Å, b = 5.9062 Å, c = 4.2983 Å
α = 90.00°, β = 90.00°, γ = 90.00°
Closest atoms and distances in Å follow each position.
Positions (direct):
I 0.0000 0.5000 0.0000  2 Na 2.95
Na 0.0000 0.0000 0.0000  2 O 2.15
I 0.5000 0.0000 0.0000  2 Na 2.95
O 0.0000 0.0000 0.5000  2 Na 2.15
B 0.5000 0.5000 0.5000  8 I 3.65

(5)
Below is a relaxed NaBIO2 crystal, with properties calculated at the PBE level.

Computed properties:
E_tot   -2.7467 eV per atom
Spin magnetization   3.01 μB/cell
N(E_F)   2.88 states/eV/f.u.

a = 4.3210 Å, b = 4.3210 Å, c = 6.4633 Å
α = 90.00°, β = 90.00°, γ = 90.00°
Closest atoms and distances in Å follow each position.
Positions (direct):
O 0.0000 0.5000 0.0000  2 Na 2.16
I 0.0000 0.0000 0.5000  4 B 3.06, 2 Na 3.23
Na 0.0000 0.0000 0.0000  4 O 2.16
B 0.5000 0.5000 0.5000  4 I 3.06
O 0.5000 0.0000 0.0000  2 Na 2.16

(6)
Below is a relaxed NaBIO5 crystal, with properties calculated at the PBE level.

Computed properties:
E_tot   -5.3790 eV per atom
Spin magnetization   0.00 μB/cell
N(E_F)   1.68 states/eV/f.u.

a = 5.3285 Å, b = 5.3285 Å, c = 7.3584 Å
α = 106.58°, β = 106.58°, γ = 103.15°
Closest atoms and distances in Å follow each position.
Positions (direct):
B 0.6878 0.3122 0.2500  4 O 1.50-1.52
Na 0.3457 0.6543 0.2500  5 O 2.18-2.41
I 0.0000 0.0000 0.5000  6 O 1.97-2.05
I 0.0000 0.0000 0.0000  6 O 1.97-2.05
O 0.6776 0.1115 0.3574  1 B 1.50
Na 0.6543 0.3457 0.7500  5 O 2.18-2.41
O 0.6002 0.7518 0.9052  1 B 1.52
O 0.3224 0.8885 0.6426  1 B 1.50
O 0.3998 0.2482 0.0948  1 B 1.52
B 0.3122 0.6878 0.7500  4 O 1.50-1.52
O 0.2482 0.3998 0.5948  1 B 1.52
O 0.7518 0.6002 0.4052  1 B 1.52
O 0.0852 0.9148 0.2500  2 I 1.97, 1 Na 2.18
O 0.8885 0.3224 0.1426  1 B 1.50
O 0.9148 0.0852 0.7500  2 I 1.97, 1 Na 2.18
O 0.1115 0.6776 0.8574  1 B 1.50

(7)
Below is a relaxed NaBIO2 crystal, with properties calculated at the PBE level.

Computed properties:
E_tot   -3.8057 eV per atom
Spin magnetization   0.01 μB/cell
N(E_F)   4.10 states/eV/f.u.

a = 3.6545 Å, b = 3.6545 Å, c = 5.3661 Å
α = 90.00°, β = 90.00°, γ = 90.00°
Closest atoms and distances in Å follow each position.
Positions (direct):
O 0.5000 0.0000 0.0000  2 B 1.83
B 0.0000 0.0000 0.0000  4 O 1.83
O 0.0000 0.5000 0.0000  2 B 1.83
I 0.0000 0.0000 0.5000  4 Na 2.58, 2 B 2.68
Na 0.5000 0.5000 0.5000  4 I 2.58

(8)
Below is a relaxed NaBI2O crystal, with properties calculated at the PBE level.

Computed properties:
E_tot   -3.4814 eV per atom
Spin magnetization   0.00 μB/cell
N(E_F)   0.54 states/eV/f.u.

a = 5.9055 Å, b = 5.9055 Å, c = 3.1300 Å
α = 90.00°, β = 90.00°, γ = 90.00°
Closest atoms and distances in Å follow each position.
Positions (direct):
Na 0.5000 0.5000 0.5000  2 Na 3.13, 8 I 3.34
B 0.0000 0.0000 0.0000  2 O 1.57
O 0.0000 0.0000 0.5000  2 B 1.57
I 0.5000 0.0000 0.0000  2 B 2.95, 2 I 3.13
I 0.0000 0.5000 0.0000  2 B 2.95, 2 I 3.13

(9)
Below is a relaxed NaBPbI2 crystal, with properties calculated at the PBE level.

Computed properties:
E_tot   -2.6389 eV per atom
Spin magnetization   0.00 μB/cell
N(E_F)   2.69 states/eV/f.u.

a = 5.8532 Å, b = 4.7042 Å, c = 5.8532 Å
α = 90.00°, β = 90.00°, γ = 90.00°
Closest atoms and distances in Å follow each position.
Positions (direct):
I 0.0000 0.0000 0.5000  2 B 2.93
Na 0.5000 0.5000 0.5000  8 I 3.75, 4 Pb 4.14
B 0.0000 0.0000 0.0000  2 Pb 2.35
Pb 0.0000 0.5000 0.0000  2 B 2.35
I 0.5000 0.0000 0.0000  2 B 2.93

(10)
Below is a relaxed NaBSbI2 crystal, with properties calculated at the PBE level.

Computed properties:
E_tot   -2.7077 eV per atom
Spin magnetization   0.00 μB/cell
N(E_F)   1.78 states/eV/f.u.

a = 5.8411 Å, b = 5.8411 Å, c = 4.4741 Å
α = 90.00°, β = 90.00°, γ = 90.00°
Closest atoms and distances in Å follow each position.
Positions (direct):
Sb 0.0000 0.0000 0.5000  2 B 2.24
Na 0.5000 0.5000 0.5000  8 I 3.68
I 0.0000 0.5000 0.0000  2 B 2.92
I 0.5000 0.0000 0.0000  2 B 2.92
B 0.0000 0.0000 0.0000  2 Sb 2.24

(11)
Below is a relaxed NaBSbI2 crystal, with properties calculated at the PBE level.

Computed properties:
E_tot   -1.8377 eV per atom
Spin magnetization   2.77 μB/cell
N(E_F)   2.52 states/eV/f.u.

a = 5.8685 Å, b = 5.9328 Å, c = 5.8685 Å
α = 90.00°, β = 90.00°, γ = 90.00°
Closest atoms and distances in Å follow each position.
Positions (direct):
I 0.5000 0.0000 0.0000  2 Na 2.93
Na 0.0000 0.0000 0.0000  4 I 2.93, 2 Sb 2.97
B 0.5000 0.5000 0.5000  4 Sb 4.15, 8 I 4.17
Sb 0.0000 0.5000 0.0000  2 Na 2.97
I 0.0000 0.0000 0.5000  2 Na 2.93

(12)
Below is a relaxed NaSc2BI crystal, with properties calculated at the PBE level.

Computed properties:
E_tot   -4.5090 eV per atom
Spin magnetization   0.00 μB/cell
N(E_F)   2.40 states/eV/f.u.

a = 4.6731 Å, b = 5.4164 Å, c = 4.6731 Å
α = 90.00°, β = 90.00°, γ = 90.00°
Closest atoms and distances in Å follow each position.
Positions (direct):
Sc 0.0000 0.0000 0.5000  2 B 2.34
Na 0.0000 0.5000 0.0000  2 B 2.71
Sc 0.5000 0.0000 0.0000  2 B 2.34
B 0.0000 0.0000 0.0000  4 Sc 2.34
I 0.5000 0.5000 0.5000  4 Na 3.30, 8 Sc 3.58